This record from Alexandria via LeMat-Bulk describes an optimized crystal structure of Ac2AgIrO6. The functional is PBE.

abc: 6.1610 6.1610 13.6397
angles: 90.00 90.00 120.00
Space group R-3 (No. 148, hexagonal axes)
Unique sites:
1 Ac 0.0000 0.0000 0.2420
2 Ag 0.0000 0.0000 0.5000
3 Ir 0.0000 0.0000 0.0000
4 O 0.0420 0.2854 0.0838

As for the total DFT energy (no corrections): -6.9111 eV per atom. For the formation energy (no corrections), the calculation gives -1.94 eV/atom.

=====

This record from Alexandria via LeMat-Bulk describes an optimized crystal structure of TaGaF3. The functional is PBE.

abc: 4.307 4.307 4.307
angles: 90.00 90.00 90.00
Space group Pm-3m (No. 221)
Unique sites:
1 Ta 0.000 0.000 0.000
2 Ga 0.500 0.500 0.500
3 F 0.000 0.000 0.500

As for the total DFT energy (no corrections): -5.6298 eV per atom. For the formation energy (no corrections), the calculation gives -1.53 eV/atom.

=====

This record from Alexandria via LeMat-Bulk describes an optimized crystal structure of Sc2SbSe. The functional is PBE.

abc: 4.271 5.449 7.519
angles: 90.00 90.00 90.00
Space group Cmmm (No. 65)
Unique sites:
1 Sc 0.000 0.000 0.232
2 Sb 0.000 0.500 0.500
3 Se 0.000 0.500 0.000

As for the total DFT energy (no corrections): -6.0431 eV per atom. For the formation energy (no corrections), the calculation gives -0.98 eV/atom.

=====

This record from Alexandria via LeMat-Bulk describes an optimized crystal structure of TiAgBr5. The functional is PBE.

abc: 14.670 6.902 9.956
angles: 90.00 108.79 90.00
Space group C2/c (No. 15)
Unique sites:
1 Ti 0.000 0.000 0.000
2 Ag 0.000 0.455 0.250
3 Br 0.000 0.154 0.750
4 Br 0.108 0.275 0.481
5 Br 0.143 0.188 0.120

As for the total DFT energy (no corrections): -3.5749 eV per atom. For the formation energy (no corrections), the calculation gives -0.84 eV/atom.

=====

This record from Alexandria via LeMat-Bulk describes an optimized crystal structure of ZnBiTe2O6. The functional is PBE.

abc: 10.388 11.849 5.795
angles: 90.00 103.68 90.00
Space group C2/c (No. 15)
Unique sites:
1 Zn 0.000 0.207 0.250
2 Bi 0.000 0.093 0.750
3 Te 0.157 0.384 0.760
4 O 0.095 0.231 0.583
5 O 0.135 0.106 0.136
6 O 0.150 0.451 0.464

As for the total DFT energy (no corrections): -5.0364 eV per atom. For the formation energy (no corrections), the calculation gives -0.92 eV/atom.

=====

This record from Alexandria via LeMat-Bulk describes an optimized crystal structure of NdMgCl. The functional is PBE.

abc: 16.593 3.530 6.134
angles: 90.00 90.00 90.00
Space group Amm2 (No. 38)
Unique sites:
1 Nd 0.166 0.000 0.000
2 Mg 0.000 0.000 0.666
3 Mg 0.500 0.000 0.820
4 Cl 0.406 0.000 0.487

As for the total DFT energy (no corrections): -3.3578 eV per atom. For the formation energy (no corrections), the calculation gives -0.62 eV/atom.

=====

This record from Alexandria via LeMat-Bulk describes an optimized crystal structure of LiBSe2. The functional is PBE.

abc: 10.304 6.800 18.113
angles: 90.00 90.96 90.00
Space group C2/c (No. 15)
Unique sites:
1 Li 0.074 0.239 0.007
2 Li 0.168 0.021 0.260
3 B 0.028 0.477 0.827
4 B 0.235 0.204 0.396
5 Se 0.000 0.256 0.750
6 Se 0.000 0.300 0.250
7 Se 0.085 0.043 0.409
8 Se 0.094 0.436 0.583
9 Se 0.221 0.490 0.370

As for the total DFT energy (no corrections): -4.3582 eV per atom. For the formation energy (no corrections), the calculation gives -0.47 eV/atom.

=====

This record from Alexandria via LeMat-Bulk describes an optimized crystal structure of Cu2SnAu. The functional is PBE.

abc: 7.244 7.244 5.545
angles: 90.00 90.00 90.00
Space group I-42d (No. 122)
Unique sites:
1 Cu 0.242 0.750 0.125
2 Sn 0.000 0.000 0.500
3 Au 0.000 0.000 0.000

For the energy of formation, the calculation gives 0.2044 eV per atom. As for the total DFT energy (no corrections): -3.6638 eV per atom.

=====

This record from Alexandria via LeMat-Bulk describes an optimized crystal structure of Ca3Bi2. The functional is PBE.

abc: 17.414 5.294 11.786
angles: 90.00 97.15 90.00
Space group C2/m (No. 12)
Unique sites:
1 Ca 0.000 0.000 0.000
2 Ca 0.000 0.000 0.333
3 Ca 0.166 0.500 0.333
4 Ca 0.167 0.500 0.000
5 Ca 0.167 0.500 0.666
6 Bi 0.017 0.500 0.816
7 Bi 0.150 0.000 0.516
8 Bi 0.183 0.000 0.150

For the energy of formation, the calculation gives -0.8338 eV per atom. As for the total DFT energy (no corrections): -3.5871 eV per atom.

=====

This record from Alexandria via LeMat-Bulk describes an optimized crystal structure of KSeI3. The functional is PBE.

abc: 6.964 6.084 26.325
angles: 90.00 99.97 90.00
Space group P2_1/c (No. 14)
Unique sites:
1 K 0.069 0.248 0.381
2 Se 0.445 0.671 0.999
3 I 0.034 0.504 0.250
4 I 0.041 0.745 0.446
5 I 0.416 0.611 0.600

As for the total DFT energy (no corrections): -2.3029 eV per atom. For the formation energy (no corrections), the calculation gives -0.46 eV/atom.

=====

This record from Alexandria via LeMat-Bulk describes an optimized crystal structure of PmHoSb. The functional is PBE.

abc: 4.511 4.511 17.166
angles: 90.00 90.00 90.00
Space group I4/mmm (No. 139)
Unique sites:
1 Pm 0.000 0.000 0.177
2 Ho 0.000 0.500 0.000
3 Sb 0.000 0.000 0.366

As for the total DFT energy (no corrections): -5.3083 eV per atom. For the formation energy (no corrections), the calculation gives -0.82 eV/atom.

=====

This record from Alexandria via LeMat-Bulk describes an optimized crystal structure of Mg6CdHg6. The functional is PBE.

abc: 6.2439 6.2439 9.3117
angles: 90.00 90.00 120.00
Space group P6/mmm (No. 191)
Unique sites:
1 Mg 0.0000 0.0000 0.1732
2 Mg 0.3333 0.6667 0.0000
3 Mg 0.3333 0.6667 0.5000
4 Cd 0.0000 0.0000 0.5000
5 Hg 0.0000 0.5000 0.2495

For the energy of formation, the calculation gives -0.0478 eV per atom. As for the total DFT energy (no corrections): -0.9934 eV per atom.

=====

This record from Alexandria via LeMat-Bulk describes an optimized crystal structure of TmMgCdAu. The functional is PBE.

abc: 6.987 6.987 6.987
angles: 90.00 90.00 90.00
Space group F-43m (No. 216)
Unique sites:
1 Tm 0.000 0.000 0.000
2 Mg 0.000 0.000 0.500
3 Cd 0.250 0.250 0.250
4 Au 0.250 0.250 0.750

For the energy of formation, the calculation gives -0.5329 eV per atom. As for the total DFT energy (no corrections): -3.0976 eV per atom.

=====

This record from Alexandria via LeMat-Bulk describes an optimized crystal structure of BeRhSe2. The functional is PBE.

abc: 4.978 4.978 5.394
angles: 90.00 90.00 90.00
Space group I4/mmm (No. 139)
Unique sites:
1 Be 0.000 0.000 0.000
2 Rh 0.000 0.000 0.500
3 Se 0.000 0.500 0.000

As for the total DFT energy (no corrections): -4.4147 eV per atom. For the formation energy (no corrections), the calculation gives 0.10 eV/atom.

=====

This record from Alexandria via LeMat-Bulk describes an optimized crystal structure of Li3Pa3VS8. The functional is PBE.

abc: 7.5907 7.5907 18.9067
angles: 90.00 90.00 120.00
Space group R-3m (No. 166, hexagonal axes)
Unique sites:
1 Li 0.0000 0.5000 0.0000
2 Pa 0.0000 0.5000 0.5000
3 V 0.0000 0.0000 0.5000
4 S 0.0000 0.0000 0.2556
5 S 0.0248 0.5124 0.2465

As for the total DFT energy (no corrections): -6.4893 eV per atom. For the formation energy (no corrections), the calculation gives -1.40 eV/atom.

=====

This record from Alexandria via LeMat-Bulk describes an optimized crystal structure of Li4Zn3Cd2. The functional is PBE.

abc: 4.330 4.694 8.335
angles: 81.20 89.93 62.57
Space group P-1 (No. 2)
Unique sites:
1 Li 0.016 0.469 0.339
2 Li 0.340 0.819 0.110
3 Zn 0.000 0.500 0.000
4 Zn 0.342 0.816 0.446
5 Cd 0.317 0.866 0.775

For the energy of formation, the calculation gives -0.1791 eV per atom. As for the total DFT energy (no corrections): -1.6577 eV per atom.

=====

This record from Alexandria via LeMat-Bulk describes an optimized crystal structure of SiHgAu2. The functional is PBE.

abc: 3.893 4.670 4.874
angles: 90.00 99.78 90.00
Space group Pm (No. 6)
Unique sites:
1 Si 0.000 0.000 0.000
2 Hg 0.533 0.500 0.677
3 Au 0.110 0.000 0.528
4 Au 0.986 0.500 0.186

As for the total DFT energy (no corrections): -2.9101 eV per atom. For the formation energy (no corrections), the calculation gives 0.16 eV/atom.

=====

This record from Alexandria via LeMat-Bulk describes an optimized crystal structure of LaTb2YP4. The functional is PBE.

abc: 5.787 5.787 11.559
angles: 90.00 90.00 90.00
Space group I4/mmm (No. 139)
Unique sites:
1 La 0.000 0.000 0.000
2 Tb 0.000 0.500 0.250
3 Y 0.000 0.000 0.500
4 P 0.000 0.000 0.255
5 P 0.000 0.500 0.000

For the energy of formation, the calculation gives -1.5836 eV per atom. As for the total DFT energy (no corrections): -6.8700 eV per atom.

=====

This record from Alexandria via LeMat-Bulk describes an optimized crystal structure of CeBeGa3. The functional is PBE.

abc: 4.205 4.205 10.029
angles: 90.00 90.00 90.00
Space group I4mm (No. 107)
Unique sites:
1 Ce 0.000 0.000 0.000
2 Be 0.000 0.000 0.630
3 Ga 0.000 0.000 0.403
4 Ga 0.000 0.500 0.244

For the energy of formation, the calculation gives -0.4171 eV per atom. As for the total DFT energy (no corrections): -4.1653 eV per atom.

=====

This record from Alexandria via LeMat-Bulk describes an optimized crystal structure of Zr2Tl2Hg. The functional is PBE.

abc: 8.470 8.470 3.477
angles: 90.00 90.00 90.00
Space group P4/mbm (No. 127)
Unique sites:
1 Zr 0.125 0.375 0.000
2 Tl 0.176 0.676 0.500
3 Hg 0.000 0.000 0.000

For the energy of formation, the calculation gives 0.1012 eV per atom. As for the total DFT energy (no corrections): -4.3249 eV per atom.

=====

This record from Alexandria via LeMat-Bulk describes an optimized crystal structure of TaAs2Ir. The functional is PBE.

abc: 3.055 3.737 5.959
angles: 90.00 90.00 90.00
Space group Pmmm (No. 47)
Unique sites:
1 Ta 0.000 0.000 0.000
2 As 0.500 0.500 0.233
3 Ir 0.500 0.000 0.500

For the energy of formation, the calculation gives 0.0353 eV per atom. As for the total DFT energy (no corrections): -7.4679 eV per atom.

=====

This record from Alexandria via LeMat-Bulk describes an optimized crystal structure of Li3Ca4. The functional is PBE.

abc: 6.3171 6.3171 6.8214
angles: 90.00 90.00 120.00
Space group P6/mmm (No. 191)
Unique sites:
1 Li 0.0000 0.5000 0.0000
2 Ca 0.0000 0.0000 0.2512
3 Ca 0.3333 0.6667 0.5000

For the energy of formation, the calculation gives 0.0392 eV per atom. As for the total DFT energy (no corrections): -1.9247 eV per atom.